Below is Th5Tl2Pt after structural relaxation, with properties calculated at the GGA-PBE level.

## Properties
SG ... Cmcm
Energy relative to the elements ... -1.95 eV per formula unit

a = 6.0177 Å, b = 6.0177 Å, c = 17.7497 Å
α = 90.00°, β = 90.00°, γ = 134.08°
Positions (direct):
Th: 0.0465 0.9535 0.5983
Th: 0.0465 0.9535 0.9017
Th: 0.3463 0.6537 0.5374
Th: 0.3463 0.6537 0.9626
Th: 0.4496 0.5504 0.7500
Th: 0.5504 0.4496 0.2500
Th: 0.6537 0.3463 0.0374
Th: 0.6537 0.3463 0.4626
Th: 0.9535 0.0465 0.0983
Th: 0.9535 0.0465 0.4017
Tl: 0.2477 0.7523 0.1599
Tl: 0.2477 0.7523 0.3401
Tl: 0.7523 0.2477 0.6599
Tl: 0.7523 0.2477 0.8401
Pt: 0.1320 0.8680 0.7500
Pt: 0.8680 0.1320 0.2500